No. 1
! Re2BrCl GGA-PBE optimized geometry; values from VASP
! - N(E_F): 1.0806 states/eV/atom
! - Energy relative to the elements, uncorrected: 155 kJ per mole of atoms
! - Relative energy among the computed polymorphs: 1.5747 eV/atom
! - Symmetry: No. 47
&SYSTEM
  ibrav = 0, nat = 4, ntyp = 3
/
ATOMIC_SPECIES
Re 186.21 Re.upf
Br 79.90 Br.upf
Cl 35.45 Cl.upf
CELL_PARAMETERS angstrom
-1.667 2.295 0.933
-3.269 -1.556 -2.014
-1.660 -3.355 5.288
ATOMIC_POSITIONS crystal
Re 0.000 0.000 0.921
Re 0.000 0.000 0.579
Br 0.500 0.500 0.250
Cl 0.500 0.500 0.750


No. 2
! Re3BrCl GGA-PBE optimized geometry; values from VASP
! - N(E_F): 1.0351 states/eV/atom
! - Energy relative to the elements, uncorrected: 232 kJ per mole of atoms
! - Relative energy among the computed polymorphs: 0.0000 eV/atom
! - Symmetry: No. 221
&SYSTEM
  ibrav = 0, nat = 5, ntyp = 3
/
ATOMIC_SPECIES
Re 186.21 Re.upf
Br 79.90 Br.upf
Cl 35.45 Cl.upf
CELL_PARAMETERS angstrom
-0.042 -4.461 -0.008
4.367 -0.040 -0.913
0.913 -0.016 4.367
ATOMIC_POSITIONS crystal
Re 0.000 0.500 0.000
Re 0.000 0.000 0.500
Re 0.500 0.000 0.000
Br 0.500 0.500 0.500
Cl 0.000 0.000 0.000


No. 3
! ReBr3Cl GGA-PBE optimized geometry; values from VASP
! - N(E_F): 0.5542 states/eV/atom
! - Energy relative to the elements, uncorrected: -27 kJ per mole of atoms
! - Relative energy among the computed polymorphs: 0.0000 eV/atom
! - Symmetry: No. 11
&SYSTEM
  ibrav = 0, nat = 10, ntyp = 3
/
ATOMIC_SPECIES
Re 186.21 Re.upf
Br 79.90 Br.upf
Cl 35.45 Cl.upf
CELL_PARAMETERS angstrom
-0.696 -1.708 -3.132
8.601 -0.335 0.375
-0.584 -9.215 5.154
ATOMIC_POSITIONS crystal
Re 0.382 0.262 0.750
Re 0.618 0.738 0.250
Br 0.119 0.739 0.421
Br 0.881 0.261 0.579
Br 0.119 0.739 0.079
Br 0.881 0.261 0.921
Br 0.527 0.554 0.750
Br 0.473 0.446 0.250
Cl 0.245 0.988 0.750
Cl 0.755 0.012 0.250


No. 4
! Re2BrCl GGA-PBE optimized geometry; values from VASP
! - N(E_F): 1.0563 states/eV/atom
! - Energy relative to the elements, uncorrected: 131 kJ per mole of atoms
! - Relative energy among the computed polymorphs: 1.3268 eV/atom
! - Symmetry: No. 47
&SYSTEM
  ibrav = 0, nat = 4, ntyp = 3
/
ATOMIC_SPECIES
Re 186.21 Re.upf
Br 79.90 Br.upf
Cl 35.45 Cl.upf
CELL_PARAMETERS angstrom
-1.848 1.975 -0.935
-3.108 -0.935 4.166
2.197 3.169 2.350
ATOMIC_POSITIONS crystal
Re 0.000 0.000 0.000
Re 0.500 0.500 0.000
Br 0.500 0.000 0.500
Cl 0.000 0.500 0.500


No. 5
! ReBrCl GGA-PBE optimized geometry; values from VASP
! - N(E_F): 0.0807 states/eV/atom
! - Energy relative to the elements, uncorrected: -15 kJ per mole of atoms
! - Relative energy among the computed polymorphs: 0.0000 eV/atom
! - Symmetry: No. 11
&SYSTEM
  ibrav = 0, nat = 6, ntyp = 3
/
ATOMIC_SPECIES
Re 186.21 Re.upf
Br 79.90 Br.upf
Cl 35.45 Cl.upf
CELL_PARAMETERS angstrom
-0.117 0.507 3.341
3.951 -6.211 1.079
9.545 -0.498 0.408
ATOMIC_POSITIONS crystal
Re 0.450 0.668 0.806
Re 0.950 0.508 0.019
Br 0.450 0.572 0.203
Br 0.950 0.604 0.621
Cl 0.950 0.154 0.105
Cl 0.450 0.022 0.719


No. 6
! Re2RuBrCl GGA-PBE optimized geometry; values from VASP
! - N(E_F): 1.4367 states/eV/atom
! - Energy relative to the elements, uncorrected: 204 kJ per mole of atoms
! - Symmetry: No. 123
&SYSTEM
  ibrav = 0, nat = 5, ntyp = 4
/
ATOMIC_SPECIES
Re 186.21 Re.upf
Cl 35.45 Cl.upf
Br 79.90 Br.upf
Ru 101.07 Ru.upf
CELL_PARAMETERS angstrom
-2.097 0.709 -3.878
-3.874 -0.861 1.938
-0.445 4.322 1.031
ATOMIC_POSITIONS crystal
Re 0.000 0.000 0.500
Re 0.500 0.000 0.000
Cl 0.000 0.000 0.000
Br 0.500 0.500 0.500
Ru 0.000 0.500 0.000


No. 7
! ReS2BrCl GGA-PBE optimized geometry; values from VASP
! - N(E_F): 1.0325 states/eV/atom
! - Energy relative to the elements, uncorrected: 22 kJ per mole of atoms
! - Relative energy among the computed polymorphs: 0.0000 eV/atom
! - Symmetry: No. 123
&SYSTEM
  ibrav = 0, nat = 5, ntyp = 4
/
ATOMIC_SPECIES
Re 186.21 Re.upf
S 32.06 S.upf
Br 79.90 Br.upf
Cl 35.45 Cl.upf
CELL_PARAMETERS angstrom
-0.124 3.650 2.821
-3.957 -1.535 1.812
2.502 -2.499 3.345
ATOMIC_POSITIONS crystal
Re 0.000 0.000 0.000
S 0.000 0.500 0.000
S 0.500 0.000 0.000
Br 0.500 0.500 0.500
Cl 0.000 0.000 0.500


No. 8
! ReS2BrCl GGA-PBE optimized geometry; values from VASP
! - N(E_F): 0.4396 states/eV/atom
! - Energy relative to the elements, uncorrected: 169 kJ per mole of atoms
! - Relative energy among the computed polymorphs: 1.5228 eV/atom
! - Symmetry: No. 123
&SYSTEM
  ibrav = 0, nat = 5, ntyp = 4
/
ATOMIC_SPECIES
Re 186.21 Re.upf
S 32.06 S.upf
Br 79.90 Br.upf
Cl 35.45 Cl.upf
CELL_PARAMETERS angstrom
-1.874 -2.161 4.009
-3.864 -1.540 -2.637
2.451 -4.219 -1.129
ATOMIC_POSITIONS crystal
Re 0.500 0.500 0.500
S 0.000 0.500 0.000
S 0.500 0.000 0.000
Br 0.000 0.000 0.000
Cl 0.000 0.000 0.500


No. 9
! ReSe2BrCl GGA-PBE optimized geometry; values from VASP
! - N(E_F): 0.9352 states/eV/atom
! - Energy relative to the elements, uncorrected: 32 kJ per mole of atoms
! - Relative energy among the computed polymorphs: 0.0000 eV/atom
! - Symmetry: No. 123
&SYSTEM
  ibrav = 0, nat = 5, ntyp = 4
/
ATOMIC_SPECIES
Re 186.21 Re.upf
Se 78.96 Se.upf
Br 79.90 Br.upf
Cl 35.45 Cl.upf
CELL_PARAMETERS angstrom
4.822 0.000 0.000
0.000 4.822 0.000
0.000 0.000 5.187
ATOMIC_POSITIONS crystal
Re 0.000 0.000 0.000
Se 0.000 0.500 0.000
Se 0.500 0.000 0.000
Br 0.000 0.000 0.500
Cl 0.500 0.500 0.500


No. 10
! ReSeBr2Cl GGA-PBE optimized geometry; values from VASP
! - N(E_F): 0.3547 states/eV/atom
! - Energy relative to the elements, uncorrected: 150 kJ per mole of atoms
! - Relative energy among the computed polymorphs: 1.2155 eV/atom
! - Symmetry: No. 123
&SYSTEM
  ibrav = 0, nat = 5, ntyp = 4
/
ATOMIC_SPECIES
Re 186.21 Re.upf
Se 78.96 Se.upf
Br 79.90 Br.upf
Cl 35.45 Cl.upf
CELL_PARAMETERS angstrom
-4.411 -1.665 -1.942
2.533 -3.385 -2.851
-0.382 -3.657 4.002
ATOMIC_POSITIONS crystal
Re 0.500 0.500 0.500
Se 0.000 0.000 0.500
Br 0.000 0.500 0.000
Br 0.500 0.000 0.000
Cl 0.000 0.000 0.000


No. 11
! ReSeBr2Cl GGA-PBE optimized geometry; values from VASP
! - N(E_F): 1.0715 states/eV/atom
! - Energy relative to the elements, uncorrected: 33 kJ per mole of atoms
! - Relative energy among the computed polymorphs: 0.0000 eV/atom
! - Symmetry: No. 123
&SYSTEM
  ibrav = 0, nat = 5, ntyp = 4
/
ATOMIC_SPECIES
Re 186.21 Re.upf
Se 78.96 Se.upf
Br 79.90 Br.upf
Cl 35.45 Cl.upf
CELL_PARAMETERS angstrom
-2.723 -4.198 0.998
1.684 0.053 4.816
-3.722 2.717 1.271
ATOMIC_POSITIONS crystal
Re 0.000 0.000 0.000
Se 0.000 0.000 0.500
Br 0.000 0.500 0.000
Br 0.500 0.000 0.000
Cl 0.500 0.500 0.500


No. 12
! ReSe2BrCl GGA-PBE optimized geometry; values from VASP
! - N(E_F): 0.5895 states/eV/atom
! - Energy relative to the elements, uncorrected: 163 kJ per mole of atoms
! - Relative energy among the computed polymorphs: 1.3485 eV/atom
! - Symmetry: No. 123
&SYSTEM
  ibrav = 0, nat = 5, ntyp = 4
/
ATOMIC_SPECIES
Re 186.21 Re.upf
Se 78.96 Se.upf
Br 79.90 Br.upf
Cl 35.45 Cl.upf
CELL_PARAMETERS angstrom
5.104 0.000 0.000
0.000 5.104 0.000
0.000 0.000 5.012
ATOMIC_POSITIONS crystal
Re 0.500 0.500 0.500
Se 0.000 0.500 0.000
Se 0.500 0.000 0.000
Br 0.000 0.000 0.500
Cl 0.000 0.000 0.000


No. 13
! ReTcBr2Cl GGA-PBE optimized geometry; values from VASP
! - N(E_F): 1.0460 states/eV/atom
! - Energy relative to the elements, uncorrected: 176 kJ per mole of atoms
! - Symmetry: No. 123
&SYSTEM
  ibrav = 0, nat = 5, ntyp = 4
/
ATOMIC_SPECIES
Re 186.21 Re.upf
Tc 98.00 Tc.upf
Br 79.90 Br.upf
Cl 35.45 Cl.upf
CELL_PARAMETERS angstrom
6.121 0.000 0.000
0.000 4.260 0.000
0.000 0.000 6.121
ATOMIC_POSITIONS crystal
Re 0.000 0.500 0.000
Tc 0.500 0.500 0.500
Br 0.000 0.000 0.500
Br 0.500 0.000 0.000
Cl 0.000 0.000 0.000


No. 14
! ReTeBrCl2 GGA-PBE optimized geometry; values from VASP
! - N(E_F): 0.4455 states/eV/atom
! - Energy relative to the elements, uncorrected: 102 kJ per mole of atoms
! - Symmetry: No. 123
&SYSTEM
  ibrav = 0, nat = 5, ntyp = 4
/
ATOMIC_SPECIES
Re 186.21 Re.upf
Te 127.60 Te.upf
Br 79.90 Br.upf
Cl 35.45 Cl.upf
CELL_PARAMETERS angstrom
5.473 0.000 0.000
0.000 5.736 0.000
0.000 0.000 5.473
ATOMIC_POSITIONS crystal
Re 0.500 0.500 0.500
Te 0.000 0.000 0.000
Br 0.000 0.500 0.000
Cl 0.000 0.000 0.500
Cl 0.500 0.000 0.000